# 1
Compound: Tl3Cd2In2Hg4
Source: Alexandria via LeMat-Bulk
Functional: PBE-GGA
Structure: optimized geometry

POSCAR file:
```
Tl3Cd2In2Hg4
1.0
4.9586 0.0000 0.0000
-2.4793 4.2943 0.0000
0.0000 0.0000 14.9908
Tl Cd In Hg
3 2 2 4
direct
0.0000 0.0000 0.0000
0.0000 0.0000 0.2769
0.0000 0.0000 0.7231
0.3333 0.6667 0.5685
0.6667 0.3333 0.4315
0.3333 0.6667 0.1576
0.6667 0.3333 0.8424
0.3333 0.6667 0.3699
0.3333 0.6667 0.8937
0.6667 0.3333 0.1063
0.6667 0.3333 0.6301
```

Output
DFT formation energy: 0.03 eV/atom
Space group: No. 164
V: 319 Å³/cell
Density of states at the Fermi level: 3.55 states/eV per cell


# 2
Compound: Tl3Cd2In3Hg
Source: Alexandria via LeMat-Bulk
Functional: PBE-GGA
Structure: optimized geometry

POSCAR file:
```
Tl3Cd2In3Hg
1.0
8.8028 0.0000 0.0000
-4.4014 7.6235 0.0000
0.0000 0.0000 3.7436
Tl Cd In Hg
3 2 3 1
direct
0.0000 0.7097 0.0000
0.2903 0.2903 0.0000
0.7097 0.0000 0.0000
0.3333 0.6667 0.0000
0.6667 0.3333 0.0000
0.0000 0.3781 0.5000
0.3781 0.0000 0.5000
0.6219 0.6219 0.5000
0.0000 0.0000 0.5000
```

Output
DFT formation energy: 0.05 eV/atom
Space group: No. 189
V: 251 Å³/cell
Density of states at the Fermi level: 3.14 states/eV per cell


# 3
Compound: Tl5CdIn2Hg
Source: Alexandria via LeMat-Bulk
Functional: PBE-GGA
Structure: optimized geometry

POSCAR file:
```
Tl5CdIn2Hg
1.0
1.7310 -8.7694 0.0000
1.7310 8.7694 0.0000
0.0000 0.0000 17.2876
Tl Cd In Hg
10 2 4 2
direct
0.0085 0.9915 0.5000
0.2350 0.7650 0.7699
0.3282 0.6718 0.1026
0.3669 0.6331 0.6258
0.4144 0.5856 0.3472
0.5856 0.4144 0.8472
0.6331 0.3669 0.1258
0.6718 0.3282 0.6026
0.7650 0.2350 0.2699
0.9915 0.0085 0.0000
0.1737 0.8263 0.4276
0.8263 0.1737 0.9276
0.0246 0.9754 0.6901
0.1864 0.8136 0.9726
0.8136 0.1864 0.4726
0.9754 0.0246 0.1901
0.4128 0.5872 0.8122
0.5872 0.4128 0.3122
```

Output
DFT formation energy: 0.03 eV/atom
Space group: No. 36
V: 525 Å³/cell
Density of states at the Fermi level: 7.03 states/eV per cell